First-principles (GGA-PBE) data for crystalline Tb7Pr2Er at its relaxed geometry, as listed in Alexandria via LeMat-Bulk.

Properties
For the formation enthalpy at 0 K, the calculation gives 153 meV/atom. Its space-group type is Cmmm.

a b c (Å): 14.861 14.861 3.512
angles (deg): 90.00 90.00 154.50
Element x y z (fractional)
Tb1 0.000 0.000 0.000
Tb2 0.158 0.352 0.000
Tb3 0.315 0.685 0.500
Tb4 0.352 0.158 0.000
Tb5 0.648 0.842 0.000
Tb6 0.685 0.315 0.500
Tb7 0.842 0.648 0.000
Pr1 0.207 0.793 0.000
Pr2 0.793 0.207 0.000
Er1 0.500 0.500 0.500